The following is a DFT calculation (GGA-PBE) of MgIrBr2F after structural relaxation.

Computed properties:
- Mass density: 6.8 g/cm³
- E_form (uncorrected): -0.51 eV/atom
- DFT total energy: -3.645 eV/atom
- DOS(E_F): 4.1 states/eV/f.u.

Lattice parameters (Å, degrees): 5.201 3.586 5.201 90.00 90.00 90.00
Positions (direct):
Br (0.000, 0.000, 0.500)
F (0.000, 0.500, 0.000)
Br (0.500, 0.000, 0.000)
Ir (0.500, 0.500, 0.500)
Mg (0.000, 0.000, 0.000)

The following is a DFT calculation (GGA-PBE) of IrBrNF2 after structural relaxation.

Computed properties:
- Mass density: 7.7 g/cm³
- E_form (uncorrected): 0.05 eV/atom
- DFT total energy: -4.471 eV/atom
- DOS(E_F): 4.6 states/eV/f.u.
- Offset from the most stable computed form: 0.000 eV/atom

Lattice parameters (Å, degrees): 4.301 4.301 3.783 90.00 90.00 90.00
Positions (direct):
N (0.000, 0.000, 0.500)
Br (0.500, 0.500, 0.500)
Ir (0.000, 0.000, 0.000)
F (0.000, 0.500, 0.000)
F (0.500, 0.000, 0.000)

The following is a DFT calculation (GGA-PBE) of IrBrN2F after structural relaxation.

Computed properties:
- Mass density: 8.2 g/cm³
- E_form (uncorrected): 0.80 eV/atom
- DFT total energy: -5.011 eV/atom
- DOS(E_F): 2.6 states/eV/f.u.
- Offset from the most stable computed form: 0.000 eV/atom

Lattice parameters (Å, degrees): 3.907 3.907 4.255 90.00 90.00 90.00
Positions (direct):
Br (0.500, 0.500, 0.500)
N (0.000, 0.500, 0.000)
N (0.500, 0.000, 0.000)
Ir (0.000, 0.000, 0.000)
F (0.000, 0.000, 0.500)

The following is a DFT calculation (GGA-PBE) of IrBrN2F after structural relaxation.

Computed properties:
- Mass density: 8.0 g/cm³
- E_form (uncorrected): 2.43 eV/atom
- DFT total energy: -3.380 eV/atom
- DOS(E_F): 5.5 states/eV/f.u.
- Offset from the most stable computed form: 1.631 eV/atom

Lattice parameters (Å, degrees): 4.137 4.137 3.881 90.00 90.00 90.00
Positions (direct):
F (0.000, 0.000, 0.500)
N (0.500, 0.000, 0.000)
N (0.000, 0.500, 0.000)
Br (0.000, 0.000, 0.000)
Ir (0.500, 0.500, 0.500)

The following is a DFT calculation (GGA-PBE) of IrBrNF2 after structural relaxation.

Computed properties:
- Mass density: 6.9 g/cm³
- E_form (uncorrected): 1.62 eV/atom
- DFT total energy: -2.895 eV/atom
- DOS(E_F): 9.4 states/eV/f.u.
- Offset from the most stable computed form: 1.575 eV/atom

Lattice parameters (Å, degrees): 4.236 4.236 4.331 90.00 90.00 90.00
Positions (direct):
F (0.000, 0.500, 0.000)
Ir (0.500, 0.500, 0.500)
N (0.000, 0.000, 0.500)
Br (0.000, 0.000, 0.000)
F (0.500, 0.000, 0.000)

The following is a DFT calculation (GGA-PBE) of Na3IrBr2F6 after structural relaxation.

Computed properties:
- Mass density: 3.7 g/cm³
- E_form (uncorrected): -1.74 eV/atom
- DFT total energy: -4.022 eV/atom
- DOS(E_F): 9.2 states/eV/f.u.

Lattice parameters (Å, degrees): 5.256 6.543 7.721 115.07 90.56 90.00
Positions (direct):
Ir (0.500, 0.000, 0.000)
Na (0.500, 0.000, 0.500)
F (0.260, 0.755, 0.941)
Br (0.039, 0.710, 0.420)
Br (0.961, 0.290, 0.580)
F (0.740, 0.245, 0.059)
F (0.582, 0.862, 0.723)
F (0.418, 0.138, 0.277)
F (0.740, 0.815, 0.059)
Na (0.000, 0.500, 0.000)
F (0.260, 0.185, 0.941)
Na (0.500, 0.500, 0.500)

The following is a DFT calculation (GGA-PBE) of Nd8Ir3Br4F after structural relaxation.

Computed properties:
- Mass density: 7.4 g/cm³
- E_form (uncorrected): -1.24 eV/atom
- DFT total energy: -5.817 eV/atom
- DOS(E_F): 6.5 states/eV/f.u.

Lattice parameters (Å, degrees): 8.276 9.150 8.279 116.88 119.99 90.00
Positions (direct):
Br (0.500, 0.000, 0.500)
Ir (0.000, 0.500, 0.500)
Nd (0.761, 0.302, 0.523)
Nd (0.721, 0.697, 0.959)
Ir (0.500, 0.500, 0.500)
Nd (0.239, 0.698, 0.477)
Nd (0.731, 0.694, 0.463)
Nd (0.279, 0.303, 0.041)
Nd (0.269, 0.306, 0.537)
Nd (0.762, 0.303, 0.041)
F (0.000, 0.500, 0.000)
Ir (0.500, 0.500, 0.000)
Br (0.500, 0.000, 0.000)
Br (0.000, 0.000, 0.000)
Nd (0.238, 0.697, 0.959)
Br (0.000, 0.000, 0.500)

The following is a DFT calculation (GGA-PBE) of Nd6Ir2Br3F after structural relaxation.

Computed properties:
- Mass density: 7.2 g/cm³
- E_form (uncorrected): -1.30 eV/atom
- DFT total energy: -5.730 eV/atom
- DOS(E_F): 9.4 states/eV/f.u.

Lattice parameters (Å, degrees): 7.194 7.194 8.144 98.26 98.26 120.72
Positions (direct):
Br (0.832, 0.168, 0.500)
Ir (0.667, 0.333, 0.000)
Nd (0.278, 0.278, 0.810)
Nd (0.722, 0.722, 0.190)
Nd (0.415, 0.067, 0.199)
Nd (0.933, 0.585, 0.801)
Nd (0.585, 0.933, 0.801)
Br (0.168, 0.832, 0.500)
F (0.000, 0.000, 0.000)
Nd (0.067, 0.415, 0.199)
Br (0.500, 0.500, 0.500)
Ir (0.333, 0.667, 0.000)

Question: Which of these has the lowest DOS(E_F)?
Answer: number 3